Entry from the Alexandria database: TcHgW4 after structural relaxation (PBE).

The structure belongs to space group F-43m (No. 216); the cell edges are 7.4659, 7.4659 and 7.4659 Å and the angles 90.00°, 90.00° and 90.00°. Symmetry generates all atoms from Tc at (0.0000, 0.0000, 0.0000), Hg at (0.2500, 0.2500, 0.2500) and W at (0.1242, 0.1242, 0.6242).

As for the total energy: -234.9 eV for the cell shown. The calculated density is 16.50 Mg/m³.